# Pr2VInO6 | Alexandria | PBE+U | relaxed
# Calculated volume: 13.4 Å³/atom
# Mass density: 6.74 Mg/m³
# Final energy: -7.5460 eV/atom
# D(E_F): 0.0 states/eV/cell
data_Pr2VInO6
_space_group_name_H-M_alt 'P 1 21/c 1'
_space_group_IT_number 14
_space_group_name_Hall '-P 2ybc'
_cell_length_a 5.6215
_cell_length_b 5.8870
_cell_length_c 9.8374
_cell_angle_alpha 90.00
_cell_angle_beta 124.68
_cell_angle_gamma 90.00
loop_
_atom_site_label
_atom_site_fract_x
_atom_site_fract_y
_atom_site_fract_z
Pr1 0.2327 0.0600 0.2509
V1 0.0000 0.0000 0.5000
In1 0.5000 0.0000 0.0000
O1 0.1298 0.2081 0.9397
O2 0.2391 0.6929 0.9451
O3 0.3514 0.0395 0.7417